[1]
Below is a geometry-optimized Cd2MoBr structure, with properties calculated at the PBE level.

## Properties
Uncorrected formation energy, eV/atom: 0.36
Crystal system: orthorhombic
VASP energy, eV/atom: -3.22
Space-group type: Cmm2 (35)
ΔE to the lowest computed polymorph, eV/atom: 0.173

Geometry as POSCAR:
```
Cd2MoBr
1.0
1.5371 -2.7679 0.0000
1.5371 2.7679 0.0000
0.0000 0.0000 11.0467
Cd Mo Br
2 1 1
direct
0.0000 0.0000 0.0000
0.5000 0.5000 0.2485
0.5000 0.5000 0.7798
0.0000 0.0000 0.5974
```

---

[2]
Below is a geometry-optimized CdMoBr structure, with properties calculated at the PBE level.

## Properties
Uncorrected formation energy, eV/atom: 0.51
Crystal system: orthorhombic
VASP energy, eV/atom: -3.96
Space-group type: Fmm2 (42)
ΔE to the lowest computed polymorph, eV/atom: 0.227

Geometry as POSCAR:
```
CdMoBr
1.0
0.0000 2.8382 7.5757
1.5664 0.0000 7.5757
1.5664 2.8382 0.0000
Cd Mo Br
1 1 1
direct
0.0000 0.0000 0.0000
0.3440 0.3440 0.6560
0.7116 0.7116 0.2884
```

---

[3]
Below is a geometry-optimized CdMoBr2 structure, with properties calculated at the PBE level.

## Properties
Uncorrected formation energy, eV/atom: 0.03
Crystal system: monoclinic
VASP energy, eV/atom: -3.74
Space-group type: Cm (8)
ΔE to the lowest computed polymorph, eV/atom: 0.025

Geometry as POSCAR:
```
CdMoBr2
1.0
5.3991 -1.6385 0.0000
5.3991 1.6385 0.0000
-2.9072 0.0000 7.0167
Cd Mo Br
1 1 2
direct
0.0000 0.0000 0.0000
0.7308 0.7308 0.0000
0.1796 0.1796 0.7131
0.3337 0.3337 0.2869
```

---

[4]
Below is a geometry-optimized CdMo2Br structure, with properties calculated at the PBE level.

## Properties
Uncorrected formation energy, eV/atom: 0.57
Crystal system: orthorhombic
VASP energy, eV/atom: -5.49
Space-group type: Imm2 (44)
ΔE to the lowest computed polymorph, eV/atom: 0.360

Geometry as POSCAR:
```
CdMo2Br
1.0
-1.5949 2.4611 5.6984
1.5949 -2.4611 5.6984
1.5949 2.4611 -5.6984
Cd Mo Br
1 2 1
direct
0.0000 0.0000 0.0000
0.3531 0.8531 0.5000
0.5070 0.5070 0.0000
0.7278 0.2278 0.5000
```

---

[5]
Below is a geometry-optimized CdMo4Br structure, with properties calculated at the PBE level.

## Properties
Uncorrected formation energy, eV/atom: 0.85
Crystal system: cubic
VASP energy, eV/atom: -6.81
Space-group type: F-43m (216)

Geometry as POSCAR:
```
CdMo4Br
1.0
0.0000 3.8010 3.8010
3.8010 0.0000 3.8010
3.8010 3.8010 0.0000
Cd Mo Br
1 4 1
direct
0.0000 0.0000 0.0000
0.1318 0.6227 0.6227
0.6227 0.1318 0.6227
0.6227 0.6227 0.1318
0.6227 0.6227 0.6227
0.2500 0.2500 0.2500
```

---

[6]
Below is a geometry-optimized CdMoBr2 structure, with properties calculated at the PBE level.

## Properties
Uncorrected formation energy, eV/atom: 0.20
Crystal system: tetragonal
VASP energy, eV/atom: -3.58
Space-group type: P4mm (99)
ΔE to the lowest computed polymorph, eV/atom: 0.188

Geometry as POSCAR:
```
CdMoBr2
1.0
3.2378 0.0000 0.0000
0.0000 3.2378 0.0000
0.0000 0.0000 8.6889
Cd Mo Br
1 1 2
direct
0.0000 0.0000 0.0000
0.5000 0.5000 0.2373
0.0000 0.0000 0.3991
0.5000 0.5000 0.7847
```

---

[7]
Below is a geometry-optimized Cd3MoBr structure, with properties calculated at the PBE level.

## Properties
Uncorrected formation energy, eV/atom: 0.75
Crystal system: cubic
VASP energy, eV/atom: -2.30
Space-group type: Pm-3m (221)
ΔE to the lowest computed polymorph, eV/atom: 0.000

Geometry as POSCAR:
```
Cd3MoBr
1.0
5.5885 0.0000 0.0000
0.0000 5.5885 0.0000
0.0000 0.0000 5.5885
Cd Mo Br
3 1 1
direct
0.0000 0.0000 0.5000
0.0000 0.5000 0.0000
0.5000 0.0000 0.0000
0.0000 0.0000 0.0000
0.5000 0.5000 0.5000
```

---

[8]
Below is a geometry-optimized Cd2MoBr structure, with properties calculated at the PBE level.

## Properties
Uncorrected formation energy, eV/atom: 0.40
Crystal system: tetragonal
VASP energy, eV/atom: -3.19
Space-group type: P4/mmm (123)
ΔE to the lowest computed polymorph, eV/atom: 0.209

Geometry as POSCAR:
```
Cd2MoBr
1.0
3.0711 0.0000 0.0000
0.0000 3.0711 0.0000
0.0000 0.0000 9.0596
Cd Mo Br
2 1 1
direct
0.0000 0.0000 0.2230
0.0000 0.0000 0.7770
0.5000 0.5000 0.0000
0.5000 0.5000 0.5000
```

---

[9]
Below is a geometry-optimized CdMoBr2 structure, with properties calculated at the PBE level.

## Properties
Uncorrected formation energy, eV/atom: 0.03
Crystal system: trigonal
VASP energy, eV/atom: -3.75
Space-group type: R3m (160)
ΔE to the lowest computed polymorph, eV/atom: 0.018

Geometry as POSCAR:
```
CdMoBr2
1.0
1.7092 0.9868 9.2340
-1.7092 0.9868 9.2340
0.0000 -1.9736 9.2340
Cd Mo Br
1 1 2
direct
0.0000 0.0000 0.0000
0.7483 0.7483 0.7483
0.2611 0.2611 0.2611
0.4734 0.4734 0.4734
```

---

[10]
Below is a geometry-optimized CdMo2Br structure, with properties calculated at the PBE level.

## Properties
Uncorrected formation energy, eV/atom: 0.33
Crystal system: tetragonal
VASP energy, eV/atom: -5.73
Space-group type: P4mm (99)
ΔE to the lowest computed polymorph, eV/atom: 0.119

Geometry as POSCAR:
```
CdMo2Br
1.0
3.2167 0.0000 0.0000
0.0000 3.2167 0.0000
0.0000 0.0000 8.1130
Cd Mo Br
1 2 1
direct
0.0000 0.0000 0.0000
0.0000 0.0000 0.3992
0.5000 0.5000 0.2380
0.5000 0.5000 0.6348
```

---

[11]
Below is a geometry-optimized CdMoBr2 structure, with properties calculated at the PBE level.

## Properties
Uncorrected formation energy, eV/atom: 0.05
Crystal system: trigonal
VASP energy, eV/atom: -3.73
Space-group type: R-3m (166)
ΔE to the lowest computed polymorph, eV/atom: 0.039

Geometry as POSCAR:
```
CdMoBr2
1.0
1.6571 0.9567 10.4402
-1.6571 0.9567 10.4402
0.0000 -1.9134 10.4402
Cd Mo Br
1 1 2
direct
0.0000 0.0000 0.0000
0.5000 0.5000 0.5000
0.2245 0.2245 0.2245
0.7755 0.7755 0.7755
```

---

[12]
Below is a geometry-optimized CdMo2Br structure, with properties calculated at the PBE level.

## Properties
Uncorrected formation energy, eV/atom: 1.14
Crystal system: cubic
VASP energy, eV/atom: -4.92
Space-group type: Fm-3m (225)
ΔE to the lowest computed polymorph, eV/atom: 0.931

Geometry as POSCAR:
```
CdMo2Br
1.0
0.0000 3.2676 3.2676
3.2676 0.0000 3.2676
3.2676 3.2676 0.0000
Cd Mo Br
1 2 1
direct
0.0000 0.0000 0.0000
0.2500 0.2500 0.2500
0.7500 0.7500 0.7500
0.5000 0.5000 0.5000
```